This record from Alexandria via LeMat-Bulk describes crystalline Ta2FeTc at its relaxed geometry. The functional is PBE-GGA.

The structure belongs to space group Pm (No. 6); the cell edges are 2.801, 4.459 and 5.109 Å and the angles 90.00°, 100.50° and 90.00°. The asymmetric unit holds Ta at (0.000, 0.000, 0.000), Ta at (0.275, 0.500, 0.714), Fe at (0.515, 0.000, 0.500) and Tc at (0.756, 0.500, 0.220).

As for the calculated density: 13.6 g cm⁻³. Its energy of formation from the pure elements is -0.047 eV/atom.